[1]
{"formula": "HoP2Ir", "functional": "PBE", "state": "optimized geometry", "lattice": [[-1.249, -4.402, 1.492], [3.118, -3.646, -0.385], [1.835, -1.974, 3.476]], "species": ["P", "P", "Ir", "Ho"], "frac_coords": [[0.232, 0.232, 0.304], [0.768, 0.768, 0.696], [0.000, 0.000, 0.000], [0.500, 0.500, 0.500]], "ef_ev_per_atom": -0.473, "dos_ef_per_ev_atom": 0.972, "vol_a3_per_cell": 68.4, "spacegroup": "R-3m, No. 166"}



[2]
{"formula": "Cs2Cd2TeSe2", "functional": "PBE", "state": "optimized geometry", "lattice": [[4.533, 0.002, -0.002], [2.266, 7.575, 1.746], [0.000, 3.906, 8.892]], "species": ["Cs", "Cs", "Cd", "Cd", "Te", "Se", "Se"], "frac_coords": [[0.557, 0.886, 0.758], [0.443, 0.114, 0.242], [0.800, 0.400, 0.673], [0.200, 0.600, 0.327], [0.000, 0.000, 0.000], [0.822, 0.356, 0.409], [0.178, 0.644, 0.591]], "dos_ef_per_ev_atom": 0.031, "formation_energy_uncorrected_ev_per_atom": -0.82, "vol_a3_per_cell": 274.4, "spacegroup": "C2/m, No. 12"}



[3]
{"formula": "La3Tb4Er3", "functional": "PBE", "state": "optimized geometry", "lattice": [[3.736, 0.000, 0.000], [0.000, 9.531, -0.034], [0.000, 0.050, 9.531]], "species": ["La", "La", "La", "Tb", "Tb", "Tb", "Tb", "Er", "Er", "Er"], "frac_coords": [[0.000, 0.507, 0.004], [0.000, 0.996, 0.493], [0.500, 0.173, 0.827], [0.000, 0.625, 0.375], [0.000, 0.379, 0.621], [0.000, 0.870, 0.879], [0.000, 0.121, 0.130], [0.500, 0.827, 0.173], [0.500, 0.330, 0.328], [0.500, 0.672, 0.670]], "ef_ev_per_atom": 0.083, "dos_ef_per_ev_atom": 1.274, "vol_a3_per_cell": 339.4, "spacegroup": "Amm2, No. 38"}



[4]
{"formula": "AlCu2SnSe4", "functional": "PBE", "state": "optimized geometry", "lattice": [[-5.880, 0.490, 0.214], [-0.102, -3.358, 4.855], [3.491, 6.047, 0.667]], "species": ["Al", "Cu", "Cu", "Sn", "Se", "Se", "Se", "Se"], "frac_coords": [[0.500, 0.500, 0.000], [0.750, 0.250, 0.500], [0.250, 0.750, 0.500], [0.000, 0.000, 0.000], [0.586, 0.586, 0.725], [0.414, 0.861, 0.275], [0.861, 0.414, 0.275], [0.139, 0.139, 0.725]], "dos_ef_per_ev_atom": 0.403, "formation_energy_uncorrected_ev_per_atom": -0.43, "vol_a3_per_cell": 196.5, "spacegroup": "I-42m, No. 121"}



[5]
{"formula": "CoSi2Pb", "functional": "PBE", "state": "optimized geometry", "lattice": [[-5.446, 1.575, 0.848], [-4.087, -4.020, 0.063], [4.704, 2.447, 2.179]], "species": ["Co", "Pb", "Si", "Si"], "frac_coords": [[0.750, 0.250, 0.500], [0.250, 0.750, 0.500], [0.946, 0.946, 0.000], [0.554, 0.554, 0.000]], "dos_ef_per_ev_atom": 0.879, "formation_energy_uncorrected_ev_per_atom": 0.44, "vol_a3_per_cell": 70.6, "spacegroup": "Immm, No. 71"}



[6]
{"formula": "PrPtF", "functional": "PBE", "state": "optimized geometry", "lattice": [[4.250, -0.011, -0.393], [2.114, 3.687, -0.402], [-1.402, -0.793, 8.024]], "species": ["Pr", "Pr", "Pt", "Pt", "F", "F"], "frac_coords": [[0.909, 0.409, 0.728], [0.091, 0.591, 0.272], [0.644, 0.144, 0.931], [0.356, 0.856, 0.069], [0.805, 0.305, 0.415], [0.195, 0.695, 0.585]], "polymorph_energy_mev_per_atom": 0, "formation_energy_uncorrected_ev_per_atom": -2.27, "vol_a3_per_cell": 123.2, "spacegroup": "R-3m, No. 166"}



[7]
{"formula": "Dy6Ge3AsS2", "functional": "PBE", "state": "optimized geometry", "lattice": [[-2.532, 0.281, -3.137], [-4.837, -5.707, 3.393], [-1.757, 7.669, 4.707]], "species": ["Dy", "Dy", "Dy", "Dy", "Dy", "Dy", "Ge", "Ge", "Ge", "As", "S", "S"], "frac_coords": [[0.333, 0.916, 0.666], [0.668, 0.581, 0.336], [0.667, 0.084, 0.334], [0.002, 0.249, 0.004], [0.998, 0.751, 0.996], [0.332, 0.419, 0.664], [0.500, 0.500, 0.000], [0.833, 0.170, 0.667], [0.167, 0.830, 0.333], [0.500, 0.000, 0.000], [0.832, 0.665, 0.664], [0.168, 0.335, 0.336]], "dos_ef_per_ev_atom": 0.466, "formation_energy_uncorrected_ev_per_atom": -1.34, "vol_a3_per_cell": 286.4, "spacegroup": "C2/m, No. 12"}



[8]
{"formula": "Sn4SeS5", "functional": "PBE", "state": "optimized geometry", "lattice": [[-2.909, 0.543, 2.352], [-4.789, -5.383, -4.680], [4.749, -6.028, 4.228]], "species": ["Sn", "Sn", "Sn", "Sn", "Se", "S", "S", "S", "S", "S"], "frac_coords": [[0.331, 0.918, 0.661], [0.999, 0.727, 0.998], [0.669, 0.082, 0.339], [0.001, 0.273, 0.002], [0.500, 0.000, 0.000], [0.843, 0.714, 0.686], [0.822, 0.135, 0.643], [0.178, 0.865, 0.357], [0.500, 0.500, 0.000], [0.157, 0.286, 0.314]], "dos_ef_per_ev_atom": 0.262, "formation_energy_uncorrected_ev_per_atom": -0.34, "vol_a3_per_cell": 275.2, "spacegroup": "C2/m, No. 12"}